A geometry-optimized BaPrDy structure, computed with PBE-GGA.

## Properties
- relative energy among the computed polymorphs (eV/atom) = 0.013
- electronic total energy (eV/atom) = -3.60
- DFT formation energy (eV per atom) = 0.1663
- symmetry = P3m1 (156)

```
BaPrDy
1.0
3.819 0.000 0.000
-1.910 3.308 0.000
0.000 0.000 9.510
Pr Ba Dy
1 1 1
direct
0.333 0.667 0.643
0.000 0.000 0.005
0.667 0.333 0.352
```